Compound: K3Ac2TmS6
Source: Alexandria
Functional: PBE-GGA
Structure: relaxed

Geometry as POSCAR:
```
K3Ac2TmS6
1.0
7.433 -0.002 -0.002
-3.717 6.437 -0.002
-1.241 -2.149 7.411
Tm S K Ac
1 6 3 2
direct
0.000 0.000 0.000 Tm
0.070 0.381 0.208 S
0.381 0.070 0.208 S
0.619 0.930 0.792 S
0.758 0.758 0.207 S
0.242 0.242 0.793 S
0.930 0.619 0.792 S
0.834 0.166 0.500 K
0.500 0.500 0.500 K
0.166 0.834 0.500 K
0.667 0.333 0.000 Ac
0.333 0.667 0.000 Ac
```

* density of states at the Fermi level: 0.00 states/eV/cell
* size of the total moment: 0.000 Bohr magnetons per cell

***

Compound: Rb2HI
Source: Alexandria
Functional: PBE-GGA
Structure: relaxed

Geometry as POSCAR:
```
Rb2HI
1.0
8.380 0.000 0.000
0.000 8.572 0.000
0.000 0.000 8.571
Rb H I
8 4 4
direct
0.812 0.833 0.168 Rb
0.313 0.667 0.667 Rb
0.813 0.333 0.333 Rb
0.312 0.333 0.332 Rb
0.813 0.167 0.833 Rb
0.812 0.667 0.668 Rb
0.312 0.167 0.832 Rb
0.313 0.833 0.167 Rb
0.063 0.499 0.501 H
0.563 0.501 0.499 H
0.563 0.999 0.999 H
0.063 0.001 0.001 H
0.563 0.499 0.999 I
0.063 0.999 0.501 I
0.563 0.001 0.499 I
0.063 0.501 0.001 I
```

* density of states at the Fermi level: 0.00 states/eV/cell
* size of the total moment: 0.043 Bohr magnetons per cell
* ΔE to the lowest computed polymorph: 0.035 eV/atom

***

Compound: TbErAlIn
Source: Alexandria
Functional: PBE-GGA
Structure: relaxed

Geometry as POSCAR:
```
TbErAlIn
1.0
3.598 0.000 0.000
0.000 3.598 0.000
0.000 0.000 7.676
Er Al Tb In
1 1 1 1
direct
0.500 0.500 0.595 Er
0.000 0.000 0.361 Al
0.500 0.500 0.119 Tb
0.000 0.000 0.853 In
```

* density of states at the Fermi level: 1.90 states/eV/cell
* ΔH_f (0 K): -0.42 eV/atom
* size of the total moment: 0.000 Bohr magnetons per cell
* ΔE to the lowest computed polymorph: 0.000 eV/atom

***

Taking the records one at a time from the top gives E values of -5.27; -2.46; -4.34 eV/atom.